No. 1
A plane-wave DFT calculation with SCAN was carried out for a crystal of CuAu2 relaxed with PBEsol.

Geometry as POSCAR:
```
CuAu2
1.0
8.0565 0.0000 0.0000
4.0282 6.9771 0.0000
4.0282 2.3257 6.5781
Cu Au
8 16
Cartesian
12.0847 6.9771 3.1913 Cu
9.4791 3.8301 2.7083 Cu
10.6621 7.7984 5.5143 Cu
13.5073 7.7984 5.5143 Cu
6.6339 3.8301 2.7083 Cu
8.0565 4.6514 5.0314 Cu
8.0565 6.2941 2.7083 Cu
12.0847 5.3345 5.5143 Cu
8.0565 7.5761 5.3571 Au
8.0565 4.6514 0.8223 Au
2.5328 1.4623 2.8655 Au
4.0282 0.5989 0.4235 Au
8.0565 2.3257 4.1113 Au
6.0424 5.8143 4.1113 Au
5.5237 6.1137 1.2210 Au
10.0706 5.8143 4.1113 Au
2.5328 3.1891 0.4235 Au
4.0282 4.0525 2.8655 Au
5.5237 3.1891 0.4235 Au
5.5237 1.4623 2.8655 Au
8.0565 1.7268 1.2210 Au
5.5237 3.1891 5.3571 Au
10.5893 3.1891 5.3571 Au
10.5893 6.1137 1.2210 Au
```

Summary:
Uncorrected energy, eV per atom: -51.1399
DFT formation energy, meV per atom: 31



No. 2
A plane-wave DFT calculation with SCAN was carried out for a crystal of CuAu3 relaxed with PBEsol.

Geometry as POSCAR:
```
CuAu3
1.0
-0.9711 -2.3398 1.2921
2.2865 0.3180 2.2943
-4.2205 3.7847 3.6815
Cu Au
1 3
Cartesian
0.6577 -1.0109 1.7932 Cu
-3.2752 2.9370 2.8569 Au
-1.4525 0.8815 3.6340 Au
-0.9453 0.8477 0.8246 Au
```

Summary:
Uncorrected energy, eV per atom: -55.7128
DFT formation energy, meV per atom: -45



No. 3
A plane-wave DFT calculation with SCAN was carried out for a crystal of CuAu3 relaxed with PBEsol.

Geometry as POSCAR:
```
CuAu3
1.0
2.8404 0.0000 0.0000
0.0000 4.8216 -0.0594
-1.4202 -1.1473 4.6052
Au Cu
3 1
Cartesian
1.4202 0.0000 0.0000 Au
0.0000 0.6517 2.4049 Au
1.4202 3.0226 2.1408 Au
0.0000 2.4108 -0.0297 Cu
```

Summary:
Uncorrected energy, eV per atom: -55.6879
DFT formation energy, meV per atom: -20